Material: TbAl3Cu2
Method: DFT, PBE
State: optimized geometry

The structure belongs to space group Cmcm (No. 63); the cell edges are 9.883, 8.055 and 5.175 Å and the angles 90.00°, 90.00° and 90.00°. Symmetry generates all atoms from Tb at (0.000, 0.162, 0.250), Al at (0.000, 0.451, 0.750), Al at (0.183, 0.221, 0.750) and Cu at (0.214, 0.500, 0.000).

As for the energy of formation: -0.34 eV/atom. For the magnetization, the calculation gives 0.00 μB per formula unit.